# Ba3TeF (meta-GGA SCAN, PBEsol geometry)
data_Ba3TeF
_chemical_formula_sum 'Ba3 Te1 F1'
_space_group_name_H-M_alt 'P m -3 m'
_space_group_IT_number 221
_space_group_name_Hall '-P 4 2 3'
_cell_length_a 5.3754
_cell_length_b 5.3754
_cell_length_c 5.3754
_cell_angle_alpha 90.00
_cell_angle_beta 90.00
_cell_angle_gamma 90.00
loop_
_atom_site_label
_atom_site_type_symbol
_atom_site_fract_x
_atom_site_fract_y
_atom_site_fract_z
Ba1 Ba 0.0000 0.0000 0.5000
Te1 Te 0.5000 0.5000 0.5000
F1 F 0.0000 0.0000 0.0000
# Formation energy (no corrections) = -1.601 eV per atom

---

# ReIrAu (meta-GGA SCAN, PBEsol geometry)
data_ReIrAu
_chemical_formula_sum 'Re4 Ir4 Au4'
_space_group_name_H-M_alt 'F -4 3 m'
_space_group_IT_number 216
_space_group_name_Hall 'F -4 2 3'
_cell_length_a 5.9928
_cell_length_b 5.9928
_cell_length_c 5.9928
_cell_angle_alpha 90.00
_cell_angle_beta 90.00
_cell_angle_gamma 90.00
loop_
_atom_site_label
_atom_site_type_symbol
_atom_site_fract_x
_atom_site_fract_y
_atom_site_fract_z
Re1 Re 0.0000 0.0000 0.0000
Ir1 Ir 0.2500 0.2500 0.7500
Au1 Au 0.2500 0.2500 0.2500
# Excess energy over the best structure of this formula in the dataset = 0.664 eV per atom
# DFT formation energy = 0.772 eV/atom

---

# KB2Pd2 (meta-GGA SCAN, PBEsol geometry)
data_KB2Pd2
_chemical_formula_sum 'K2 B4 Pd4'
_space_group_name_H-M_alt 'I 4/m m m'
_space_group_IT_number 139
_space_group_name_Hall '-I 4 2'
_cell_length_a 4.1961
_cell_length_b 4.1961
_cell_length_c 11.7948
_cell_angle_alpha 90.00
_cell_angle_beta 90.00
_cell_angle_gamma 90.00
loop_
_atom_site_label
_atom_site_type_symbol
_atom_site_fract_x
_atom_site_fract_y
_atom_site_fract_z
K1 K 0.0000 0.0000 0.0000
B1 B 0.0000 0.5000 0.2500
Pd1 Pd 0.0000 0.0000 0.2613
# DFT formation energy = 0.167 eV/atom

---

# LaFeW2 (meta-GGA SCAN, PBEsol geometry)
data_LaFeW2
_chemical_formula_sum 'La2 Fe2 W4'
_space_group_name_H-M_alt 'I 4/m m m'
_space_group_IT_number 139
_space_group_name_Hall '-I 4 2'
_cell_length_a 3.7786
_cell_length_b 3.7786
_cell_length_c 9.9936
_cell_angle_alpha 90.00
_cell_angle_beta 90.00
_cell_angle_gamma 90.00
loop_
_atom_site_label
_atom_site_type_symbol
_atom_site_fract_x
_atom_site_fract_y
_atom_site_fract_z
La1 La 0.0000 0.0000 0.0000
Fe1 Fe 0.0000 0.0000 0.5000
W1 W 0.0000 0.5000 0.2500
# Excess energy over the best structure of this formula in the dataset = 0.566 eV per atom
# DFT formation energy = 1.050 eV/atom

---

# MgCd2 (meta-GGA SCAN, PBEsol geometry)
data_MgCd2
_chemical_formula_sum 'Mg2 Cd4'
_space_group_name_H-M_alt 'P -6 m 2'
_space_group_IT_number 187
_space_group_name_Hall 'P -6 2'
_cell_length_a 3.1738
_cell_length_b 3.1738
_cell_length_c 14.4188
_cell_angle_alpha 90.00
_cell_angle_beta 90.00
_cell_angle_gamma 120.00
loop_
_atom_site_label
_atom_site_type_symbol
_atom_site_fract_x
_atom_site_fract_y
_atom_site_fract_z
Mg1 Mg 0.0000 0.0000 0.1666
Cd1 Cd 0.0000 0.0000 0.5000
Cd2 Cd 0.3333 0.6667 0.0000
Cd3 Cd 0.3333 0.6667 0.3329
# DFT formation energy = -0.069 eV/atom

---

# CoSbPt2I (meta-GGA SCAN, PBEsol geometry)
data_CoSbPt2I
_chemical_formula_sum 'Co1 Sb1 Pt2 I1'
_space_group_name_H-M_alt 'P 4/m m m'
_space_group_IT_number 123
_space_group_name_Hall '-P 4 2'
_cell_length_a 4.8566
_cell_length_b 4.8566
_cell_length_c 5.9856
_cell_angle_alpha 90.00
_cell_angle_beta 90.00
_cell_angle_gamma 90.00
loop_
_atom_site_label
_atom_site_type_symbol
_atom_site_fract_x
_atom_site_fract_y
_atom_site_fract_z
Co1 Co 0.0000 0.0000 0.0000
Sb1 Sb 0.5000 0.5000 0.5000
Pt1 Pt 0.0000 0.5000 0.5000
I1 I 0.5000 0.5000 0.0000
# Formation energy (no corrections) = 1.093 eV per atom

---

# GaPbO3 (meta-GGA SCAN, PBEsol geometry)
data_GaPbO3
_chemical_formula_sum 'Ga1 Pb1 O3'
_space_group_name_H-M_alt 'P m -3 m'
_space_group_IT_number 221
_space_group_name_Hall '-P 4 2 3'
_cell_length_a 3.9019
_cell_length_b 3.9019
_cell_length_c 3.9019
_cell_angle_alpha 90.00
_cell_angle_beta 90.00
_cell_angle_gamma 90.00
loop_
_atom_site_label
_atom_site_type_symbol
_atom_site_fract_x
_atom_site_fract_y
_atom_site_fract_z
Ga1 Ga 0.0000 0.0000 0.0000
Pb1 Pb 0.5000 0.5000 0.5000
O1 O 0.0000 0.0000 0.5000
# Formation energy (no corrections) = -1.240 eV per atom

---

# Be2CuSe (meta-GGA SCAN, PBEsol geometry)
data_Be2CuSe
_chemical_formula_sum 'Be4 Cu2 Se2'
_space_group_name_H-M_alt 'C 1 m 1'
_space_group_IT_number 8
_cell_length_a 7.3004
_cell_length_b 3.3702
_cell_length_c 4.7480
_cell_angle_alpha 90.00
_cell_angle_beta 95.87
_cell_angle_gamma 90.00
loop_
_space_group_symop_operation_xyz
'x,y,z'
'x,-y,z'
'x+1/2,y+1/2,z'
'x+1/2,-y+1/2,z'
loop_
_atom_site_label
_atom_site_type_symbol
_atom_site_fract_x
_atom_site_fract_y
_atom_site_fract_z
Be1 Be 0.0000 0.0000 0.0000
Be2 Be 0.1966 0.5000 0.9502
Cu1 Cu 0.3023 0.0000 0.2061
Se1 Se 0.4454 0.0000 0.6804
# Formation energy (no corrections) = 0.102 eV per atom

---

# SrYMg2 (meta-GGA SCAN, PBEsol geometry)
data_SrYMg2
_chemical_formula_sum 'Sr1 Y1 Mg2'
_space_group_name_H-M_alt 'P m m 2'
_space_group_IT_number 25
_cell_length_a 3.8314
_cell_length_b 5.6203
_cell_length_c 5.6206
_cell_angle_alpha 90.00
_cell_angle_beta 90.00
_cell_angle_gamma 90.00
loop_
_space_group_symop_operation_xyz
'x,y,z'
'-x,-y,z'
'-x,y,z'
'x,-y,z'
loop_
_atom_site_label
_atom_site_type_symbol
_atom_site_fract_x
_atom_site_fract_y
_atom_site_fract_z
Sr1 Sr 0.0000 0.0000 0.0000
Y1 Y 0.0000 0.5000 0.5038
Mg1 Mg 0.5000 0.0000 0.4996
Mg2 Mg 0.5000 0.5000 0.0051
# Excess energy over the best structure of this formula in the dataset = 0.000 eV per atom
# DFT formation energy = -0.034 eV/atom

---

# AlAu (meta-GGA SCAN, PBEsol geometry)
data_AlAu
_chemical_formula_sum 'Al4 Au4'
_space_group_name_H-M_alt 'C 1 2/m 1'
_space_group_IT_number 12
_cell_length_a 8.9493
_cell_length_b 3.3955
_cell_length_c 4.3844
_cell_angle_alpha 90.00
_cell_angle_beta 101.51
_cell_angle_gamma 90.00
loop_
_space_group_symop_operation_xyz
'x,y,z'
'-x,-y,-z'
'-x,y,-z'
'x,-y,z'
'x+1/2,y+1/2,z'
'-x+1/2,-y+1/2,-z'
'-x+1/2,y+1/2,-z'
'x+1/2,-y+1/2,z'
loop_
_atom_site_label
_atom_site_type_symbol
_atom_site_fract_x
_atom_site_fract_y
_atom_site_fract_z
Al1 Al 0.1223 0.0000 0.3322
Au1 Au 0.1163 0.5000 0.8204
# DFT formation energy = -0.532 eV/atom

---

# ZrS2O8 (meta-GGA SCAN, PBEsol geometry)
data_ZrS2O8
_chemical_formula_sum 'Zr4 S8 O32'
_space_group_name_H-M_alt 'P n m a'
_space_group_IT_number 62
_cell_length_a 8.6402
_cell_length_b 5.4620
_cell_length_c 10.9465
_cell_angle_alpha 90.00
_cell_angle_beta 90.00
_cell_angle_gamma 90.00
loop_
_space_group_symop_operation_xyz
'x,y,z'
'-x,-y,-z'
'-x+1/2,-y,z+1/2'
'x+1/2,y,-z+1/2'
'x+1/2,-y+1/2,-z+1/2'
'-x+1/2,y+1/2,z+1/2'
'-x,y+1/2,-z'
'x,-y+1/2,z'
loop_
_atom_site_label
_atom_site_type_symbol
_atom_site_fract_x
_atom_site_fract_y
_atom_site_fract_z
Zr1 Zr 0.2451 0.2500 0.1031
S1 S 0.0011 0.7500 0.1558
S2 S 0.1460 0.2500 0.4073
O1 O 0.0135 0.7500 0.6429
O2 O 0.0727 0.2500 0.9664
O3 O 0.1056 0.2500 0.7443
O4 O 0.1057 0.5327 0.1607
O5 O 0.1666 0.0289 0.4826
O6 O 0.2401 0.7500 0.8068
# Formation energy (no corrections) = -2.156 eV per atom

---

# Na2Sn2Au (meta-GGA SCAN, PBEsol geometry)
data_Na2Sn2Au
_chemical_formula_sum 'Na4 Sn4 Au2'
_space_group_name_H-M_alt 'P 4/m b m'
_space_group_IT_number 127
_space_group_name_Hall '-P 4 2ab'
_cell_length_a 7.0246
_cell_length_b 7.0246
_cell_length_c 5.0936
_cell_angle_alpha 90.00
_cell_angle_beta 90.00
_cell_angle_gamma 90.00
loop_
_atom_site_label
_atom_site_type_symbol
_atom_site_fract_x
_atom_site_fract_y
_atom_site_fract_z
Na1 Na 0.1698 0.3302 0.0000
Sn1 Sn 0.1416 0.6416 0.5000
Au1 Au 0.0000 0.0000 0.5000
# DFT formation energy = -0.335 eV/atom

---

| no. | DOS(E_F) (states/eV per cell) |
| --- | --- |
| 1 | 4.5 |
| 2 | 7.6 |
| 3 | 3.6 |
| 4 | 7.9 |
| 5 | 1.9 |
| 6 | 4.7 |
| 7 | 2.9 |
| 8 | 1.5 |
| 9 | 2.6 |
| 10 | 2.0 |
| 11 | 0.0 |
| 12 | 2.7 |